Material: CaAc15Nd4
Method: DFT, PBE
State: relaxed

formation energy from the elements: 2 kJ/mol of atoms

a = 5.5655 Å, b = 5.5655 Å, c = 27.6417 Å
α = 90.00°, β = 90.00°, γ = 90.00°
Fractional positions:
Ca 0.0000 0.0000 0.0000
Ac 0.0000 0.5000 0.1025
Ac 0.0000 0.5000 0.3005
Ac 0.0000 0.5000 0.5000
Ac 0.0000 0.5000 0.6995
Ac 0.0000 0.5000 0.8975
Ac 0.5000 0.0000 0.1025
Ac 0.5000 0.0000 0.3005
Ac 0.5000 0.0000 0.5000
Ac 0.5000 0.0000 0.6995
Ac 0.5000 0.0000 0.8975
Ac 0.5000 0.5000 0.0000
Ac 0.5000 0.5000 0.2009
Ac 0.5000 0.5000 0.4000
Ac 0.5000 0.5000 0.6000
Ac 0.5000 0.5000 0.7991
Nd 0.0000 0.0000 0.2002
Nd 0.0000 0.0000 0.4004
Nd 0.0000 0.0000 0.5996
Nd 0.0000 0.0000 0.7998

***

Material: VGaPd3
Method: DFT, PBE
State: relaxed

excess energy over the best structure of this formula in the dataset: 0.9630 eV/atom
formation energy from the elements: 63 kJ/mol of atoms

a = 4.6458 Å, b = 4.6458 Å, c = 4.6458 Å
α = 90.00°, β = 90.00°, γ = 90.00°
Fractional positions:
V 0.0000 0.0000 0.0000
Ga 0.5000 0.5000 0.5000
Pd 0.0000 0.0000 0.5000
Pd 0.0000 0.5000 0.0000
Pd 0.5000 0.0000 0.0000

***

Material: PrSm2MgAu4
Method: DFT, PBE
State: relaxed

formation energy from the elements: -72 kJ/mol of atoms

a = 8.9347 Å, b = 8.9347 Å, c = 8.9347 Å
α = 33.26°, β = 33.26°, γ = 33.26°
Fractional positions:
Pr 0.0000 0.0000 0.0000
Sm 0.2421 0.2421 0.2421
Sm 0.7579 0.7579 0.7579
Mg 0.5000 0.5000 0.5000
Au 0.1221 0.1221 0.1221
Au 0.3835 0.3835 0.3835
Au 0.6165 0.6165 0.6165
Au 0.8779 0.8779 0.8779

***

Material: Rb2CaPmI6
Method: DFT, PBE
State: relaxed

electronic total energy: -31.62 eV per formula unit

a = 8.7738 Å, b = 12.4677 Å, c = 8.8318 Å
α = 90.00°, β = 90.00°, γ = 90.00°
Fractional positions:
Rb 0.2500 0.0356 0.2204
Rb 0.2500 0.4644 0.2204
Rb 0.7500 0.5356 0.7796
Rb 0.7500 0.9644 0.7796
Ca 0.2500 0.2500 0.7389
Ca 0.7500 0.7500 0.2611
Pm 0.2500 0.7500 0.7582
Pm 0.7500 0.2500 0.2418
I 0.0008 0.2500 0.9895
I 0.0091 0.2500 0.4834
I 0.2500 0.0010 0.7604
I 0.2500 0.4990 0.7604
I 0.4909 0.2500 0.4834
I 0.4992 0.2500 0.9895
I 0.5008 0.7500 0.0105
I 0.5091 0.7500 0.5166
I 0.7500 0.5010 0.2396
I 0.7500 0.9990 0.2396
I 0.9909 0.7500 0.5166
I 0.9992 0.7500 0.0105

***

Material: La3NdY3Te8
Method: DFT, PBE
State: relaxed

electronic total energy: -86.51 eV per formula unit

a = 8.9482 Å, b = 8.9482 Å, c = 8.9482 Å
α = 59.50°, β = 59.50°, γ = 59.50°
Fractional positions:
La 0.0000 0.5000 0.5000
La 0.5000 0.0000 0.5000
La 0.5000 0.5000 0.0000
Nd 0.5000 0.5000 0.5000
Y 0.0000 0.0000 0.5000
Y 0.0000 0.5000 0.0000
Y 0.5000 0.0000 0.0000
Te 0.2333 0.7563 0.7563
Te 0.2437 0.2437 0.7667
Te 0.2437 0.7667 0.2437
Te 0.2449 0.2449 0.2449
Te 0.7551 0.7551 0.7551
Te 0.7563 0.2333 0.7563
Te 0.7563 0.7563 0.2333
Te 0.7667 0.2437 0.2437

***

Material: CaTc2Br
Method: DFT, PBE
State: relaxed

excess energy over the best structure of this formula in the dataset: 0.0000 eV/atom

a = 3.1918 Å, b = 8.0667 Å, c = 8.0667 Å
α = 22.90°, β = 90.00°, γ = 90.00°
Fractional positions:
Ca 0.0000 0.0000 0.0000
Tc 0.0000 0.7825 0.7825
Tc 0.5000 0.3593 0.3593
Br 0.5000 0.6276 0.6276